1.
VASP calculation (PBE) on a geometry-optimized Be2AlBr structure.

Cell lengths 6.9871, 6.9871, 3.8917 Å; angles 76.62, 76.62, 25.72 degrees
Element x y z (fractional)
Be: 0.7170 0.7170 0.6718
Be: 0.0905 0.0905 0.7777
Al: 0.2170 0.2170 0.1730
Br: 0.4755 0.4755 0.8775

Computed properties:
- E_form (uncorrected): 0.302 eV/atom
- Space-group type: No. 8
- E: -11.66 eV per cell
- ρ: 2.59 g cm⁻³
- Fermi-level density of states: 2.42 states/eV/f.u.
- E above lowest polymorph: 0.2231 eV/atom

2.
VASP calculation (PBE) on a geometry-optimized BeAlBr2 structure.

Cell lengths 11.5214, 11.5214, 11.5214 Å; angles 16.86, 16.86, 16.86 degrees
Element x y z (fractional)
Br: 0.8743 0.8743 0.8743
Br: 0.1257 0.1257 0.1257
Al: 0.0000 0.0000 0.0000
Be: 0.5000 0.5000 0.5000

Computed properties:
- E_form (uncorrected): -0.169 eV/atom
- Space-group type: No. 166
- E: -11.49 eV per cell
- ρ: 2.90 g cm⁻³
- Fermi-level density of states: 0.89 states/eV/f.u.
- E above lowest polymorph: 0.1630 eV/atom

3.
VASP calculation (PBE) on a geometry-optimized BeAl2Br structure.

Cell lengths 3.1504, 3.1504, 7.2784 Å; angles 90.00, 90.00, 100.86 degrees
Element x y z (fractional)
Br: 0.5000 0.5000 0.7500
Al: 0.0000 0.0000 0.4448
Al: 0.0000 0.0000 0.0552
Be: 0.5000 0.5000 0.2500

Computed properties:
- E_form (uncorrected): 0.276 eV/atom
- Space-group type: No. 65
- E: -11.78 eV per cell
- ρ: 3.34 g cm⁻³
- Fermi-level density of states: 0.77 states/eV/f.u.
- E above lowest polymorph: 0.1179 eV/atom

4.
VASP calculation (PBE) on a geometry-optimized BeAl2Br structure.

Cell lengths 4.7646, 4.7646, 4.7646 Å; angles 60.00, 60.00, 60.00 degrees
Element x y z (fractional)
Al: 0.2500 0.2500 0.2500
Al: 0.7500 0.7500 0.7500
Br: 0.5000 0.5000 0.5000
Be: 0.0000 0.0000 0.0000

Computed properties:
- E_form (uncorrected): 0.697 eV/atom
- Space-group type: No. 225
- E: -10.10 eV per cell
- ρ: 3.10 g cm⁻³
- Fermi-level density of states: 3.99 states/eV/f.u.
- E above lowest polymorph: 0.5387 eV/atom